Entry 1:
Here is an optimized crystal structure of YZn2Pd2 from the Alexandria database. Energies are from PBE. Values from VASP.

Values from the calculation:
M_tot = 0.00 μB per formula unit
DOS at the Fermi energy = 2.59 states/eV per cell
ρ = 7.74 Mg/m³
DFT total energy = -4.50 eV per atom
Crystal system = tetragonal
Formation enthalpy at 0 K = -0.62 eV/atom
Space-group type = I4/mmm (139)
Distance to the lowest polymorph of the same formula = 0.0140 eV/atom

Quantum ESPRESSO input file:
```
&SYSTEM
  ibrav = 0, nat = 5, ntyp = 3
/
ATOMIC_SPECIES
Y 88.91 Y.upf
Zn 65.41 Zn.upf
Pd 106.42 Pd.upf
CELL_PARAMETERS angstrom
-1.9387 1.9387 6.1722
1.9387 -1.9387 6.1722
1.9387 1.9387 -6.1722
ATOMIC_POSITIONS crystal
Y 0.0000 0.0000 0.0000
Zn 0.2500 0.7500 0.5000
Zn 0.7500 0.2500 0.5000
Pd 0.3908 0.3908 0.0000
Pd 0.6092 0.6092 0.0000
```

Entry 2:
Here is an optimized crystal structure of Sr5CaCd4 from the Alexandria database. Energies are from PBE. Values from VASP.

Values from the calculation:
M_tot = 0.00 μB per formula unit
DOS at the Fermi energy = 8.67 states/eV per cell
ρ = 4.24 Mg/m³
DFT total energy = -1.67 eV per atom
Crystal system = tetragonal
Formation enthalpy at 0 K = -0.26 eV/atom
Space-group type = P4/mmm (123)

Quantum ESPRESSO input file:
```
&SYSTEM
  ibrav = 0, nat = 10, ntyp = 3
/
ATOMIC_SPECIES
Sr 87.62 Sr.upf
Ca 40.08 Ca.upf
Cd 112.41 Cd.upf
CELL_PARAMETERS angstrom
4.0636 0.0000 0.0000
0.0000 4.0636 0.0000
0.0000 0.0000 21.9878
ATOMIC_POSITIONS crystal
Sr 0.0000 0.0000 0.0000
Sr 0.0000 0.0000 0.1846
Sr 0.0000 0.0000 0.3676
Sr 0.0000 0.0000 0.6324
Sr 0.0000 0.0000 0.8154
Ca 0.5000 0.5000 0.5000
Cd 0.5000 0.5000 0.0919
Cd 0.5000 0.5000 0.2796
Cd 0.5000 0.5000 0.7204
Cd 0.5000 0.5000 0.9081
```

Entry 3:
Here is an optimized crystal structure of TbCe2Hg3 from the Alexandria database. Energies are from PBE. Values from VASP.

Values from the calculation:
M_tot = 2.48 μB per formula unit
DOS at the Fermi energy = 16.47 states/eV per cell
ρ = 10.79 Mg/m³
DFT total energy = -3.25 eV per atom
Crystal system = tetragonal
Formation enthalpy at 0 K = -0.35 eV/atom
Space-group type = P4/mmm (123)

Quantum ESPRESSO input file:
```
&SYSTEM
  ibrav = 0, nat = 6, ntyp = 3
/
ATOMIC_SPECIES
Tb 158.93 Tb.upf
Ce 140.12 Ce.upf
Hg 200.59 Hg.upf
CELL_PARAMETERS angstrom
3.5222 0.0000 0.0000
0.0000 3.5222 0.0000
0.0000 0.0000 12.9114
ATOMIC_POSITIONS crystal
Tb 0.0000 0.0000 0.0000
Ce 0.0000 0.0000 0.3288
Ce 0.0000 0.0000 0.6712
Hg 0.5000 0.5000 0.1573
Hg 0.5000 0.5000 0.5000
Hg 0.5000 0.5000 0.8427
```